Here is CaScPtO4 after structural relaxation from Alexandria. Energies are from PBE.

Structure (extended XYZ):
```
14
Lattice="-3.184 3.222 4.777 3.184 -3.222 4.777 3.184 3.222 -4.777" Properties=species:S:1:pos:R:3 pbc="T T T"
Ca 0.000 1.611 1.124
Ca 3.184 1.611 3.653
Sc 1.592 1.611 -2.389
Sc 1.592 -1.611 2.389
Pt 3.184 0.000 0.000
Pt 0.000 0.000 4.777
O 3.184 2.984 -2.485
O 3.184 -0.238 2.485
O 1.874 1.611 -0.202
O 4.494 1.611 -0.202
O -1.310 1.611 4.979
O 1.310 1.611 4.979
O 0.000 3.460 2.292
O 0.000 0.238 7.262
```

- Volume: 14.0 Å³/atom
- Formation energy without anion corrections: -2150 meV/atom
- ρ: 5.83 Mg/m³